# GeSe2O6, optimized geometry, DFT PBEsol
data_GeSe2O6
_cell_length_a 5.0853
_cell_length_b 6.7351
_cell_length_c 8.8453
_cell_angle_alpha 90.00
_cell_angle_beta 124.07
_cell_angle_gamma 90.00
_symmetry_space_group_name_H-M 'P 1'
_symmetry_Int_Tables_number 1
loop_
_symmetry_equiv_pos_as_xyz
'x,y,z'
loop_
_atom_site_label
_atom_site_type_symbol
_atom_site_fract_x
_atom_site_fract_y
_atom_site_fract_z
Ge1 Ge 0.0000 0.0000 0.0000
Ge2 Ge 0.0000 0.5000 0.5000
Se1 Se 0.3183 0.1750 0.8025
Se2 Se 0.3183 0.3250 0.3025
Se3 Se 0.6817 0.6750 0.6975
Se4 Se 0.6817 0.8250 0.1975
O1 O 0.1933 0.0803 0.2457
O2 O 0.1933 0.4197 0.7457
O3 O 0.2797 0.7232 0.5811
O4 O 0.2797 0.7768 0.0811
O5 O 0.2953 0.1639 0.9926
O6 O 0.2953 0.3361 0.4926
O7 O 0.7047 0.6639 0.5074
O8 O 0.7047 0.8361 0.0074
O9 O 0.7203 0.2232 0.9189
O10 O 0.7203 0.2768 0.4189
O11 O 0.8067 0.5803 0.2543
O12 O 0.8067 0.9197 0.7543
# size of the total moment = 0.0 Bohr magnetons per cell
# E_form (uncorrected) = -1.0743 eV/atom
# mass density = 4.322 g/cm³
# VASP energy = -5.98 eV per atom